Run P
# HoCd4 | Alexandria | PBE-GGA | relaxed
data_HoCd4
_symmetry_space_group_name_H-M 'P m -3 m'
_symmetry_Int_Tables_number 221
_symmetry_space_group_name_Hall '-P 4 2 3'
_cell_length_a 5.9689
_cell_length_b 5.9689
_cell_length_c 5.9689
_cell_angle_alpha 90.00
_cell_angle_beta 90.00
_cell_angle_gamma 90.00
loop_
_atom_site_label
_atom_site_type_symbol
_atom_site_fract_x
_atom_site_fract_y
_atom_site_fract_z
Ho1 Ho 0.0000 0.0000 0.0000
Cd1 Cd 0.0000 0.0000 0.5000
Cd2 Cd 0.5000 0.5000 0.5000
# **Fermi-level density of states**: 6.40 states/eV per cell
# **Theoretical density**: 4.80 Mg/m³

=====

Run Q
# HoCd4 | Alexandria | PBE-GGA | relaxed
data_HoCd4
_symmetry_space_group_name_H-M 'I m m a'
_symmetry_Int_Tables_number 74
_symmetry_space_group_name_Hall '-I 2b 2'
_cell_length_a 4.8460
_cell_length_b 6.5765
_cell_length_c 14.8145
_cell_angle_alpha 90.00
_cell_angle_beta 90.00
_cell_angle_gamma 90.00
loop_
_atom_site_label
_atom_site_type_symbol
_atom_site_fract_x
_atom_site_fract_y
_atom_site_fract_z
Ho1 Ho 0.0000 0.2500 0.1050
Cd1 Cd 0.0000 0.0000 0.5000
Cd2 Cd 0.0000 0.0048 0.3024
Cd3 Cd 0.0000 0.2500 0.8875
# **Fermi-level density of states**: 12.34 states/eV per cell
# **Theoretical density**: 8.65 Mg/m³

=====

The data favor run Q; the next most stable structure lies 866 meV/atom above it.

=====

Run P
# Ho5Cd | Alexandria | PBE-GGA | relaxed
data_Ho5Cd
_symmetry_space_group_name_H-M 'C 1 2/m 1'
_symmetry_Int_Tables_number 12
_symmetry_space_group_name_Hall '-C 2y'
_cell_length_a 12.1767
_cell_length_b 3.7147
_cell_length_c 8.4689
_cell_angle_alpha 90.00
_cell_angle_beta 112.29
_cell_angle_gamma 90.00
loop_
_atom_site_label
_atom_site_type_symbol
_atom_site_fract_x
_atom_site_fract_y
_atom_site_fract_z
Ho1 Ho 0.0000 0.0000 0.0000
Ho2 Ho 0.1468 0.5000 0.3538
Ho3 Ho 0.1704 0.5000 0.8093
Cd1 Cd 0.0000 0.0000 0.5000
# **Fermi-level density of states**: 14.58 states/eV per cell
# **Theoretical density**: 8.78 Mg/m³

=====

Run Q
# Ho5Cd | Alexandria | PBE-GGA | relaxed
data_Ho5Cd
_symmetry_space_group_name_H-M 'C m m m'
_symmetry_Int_Tables_number 65
_symmetry_space_group_name_Hall '-C 2 2'
_cell_length_a 4.8383
_cell_length_b 14.9491
_cell_length_c 4.8251
_cell_angle_alpha 90.00
_cell_angle_beta 90.00
_cell_angle_gamma 90.00
loop_
_atom_site_label
_atom_site_type_symbol
_atom_site_fract_x
_atom_site_fract_y
_atom_site_fract_z
Ho1 Ho 0.0000 0.0000 0.0000
Ho2 Ho 0.0000 0.1633 0.5000
Ho3 Ho 0.0000 0.3312 0.0000
Cd1 Cd 0.0000 0.5000 0.5000
# **Fermi-level density of states**: 13.58 states/eV per cell
# **Theoretical density**: 8.92 Mg/m³

=====

The data favor run P; the next most stable structure lies 15 meV/atom above it.

=====

Run P
# Ho4Cd | Alexandria | PBE-GGA | relaxed
data_Ho4Cd
_symmetry_space_group_name_H-M 'I 4/m m m'
_symmetry_Int_Tables_number 139
_symmetry_space_group_name_Hall '-I 4 2'
_cell_length_a 3.5335
_cell_length_b 3.5335
_cell_length_c 23.2513
_cell_angle_alpha 90.00
_cell_angle_beta 90.00
_cell_angle_gamma 90.00
loop_
_atom_site_label
_atom_site_type_symbol
_atom_site_fract_x
_atom_site_fract_y
_atom_site_fract_z
Ho1 Ho 0.0000 0.0000 0.0901
Ho2 Ho 0.0000 0.0000 0.3032
Cd1 Cd 0.0000 0.0000 0.5000
# **Fermi-level density of states**: 15.19 states/eV per cell
# **Theoretical density**: 8.83 Mg/m³

=====

Run Q
# Ho4Cd | Alexandria | PBE-GGA | relaxed
data_Ho4Cd
_symmetry_space_group_name_H-M 'P m -3 m'
_symmetry_Int_Tables_number 221
_symmetry_space_group_name_Hall '-P 4 2 3'
_cell_length_a 5.6220
_cell_length_b 5.6220
_cell_length_c 5.6220
_cell_angle_alpha 90.00
_cell_angle_beta 90.00
_cell_angle_gamma 90.00
loop_
_atom_site_label
_atom_site_type_symbol
_atom_site_fract_x
_atom_site_fract_y
_atom_site_fract_z
Ho1 Ho 0.0000 0.0000 0.0000
Ho2 Ho 0.0000 0.5000 0.5000
Cd1 Cd 0.5000 0.5000 0.5000
# **Fermi-level density of states**: 8.23 states/eV per cell
# **Theoretical density**: 7.22 Mg/m³

=====

Run R
# Ho4Cd | Alexandria | PBE-GGA | relaxed
data_Ho4Cd
_symmetry_space_group_name_H-M 'C 1 2/c 1'
_symmetry_Int_Tables_number 15
_symmetry_space_group_name_Hall '-C 2yc'
_cell_length_a 6.8041
_cell_length_b 17.5077
_cell_length_c 6.0224
_cell_angle_alpha 90.00
_cell_angle_beta 123.54
_cell_angle_gamma 90.00
loop_
_atom_site_label
_atom_site_type_symbol
_atom_site_fract_x
_atom_site_fract_y
_atom_site_fract_z
Ho1 Ho 0.1806 0.0840 0.1287
Ho2 Ho 0.2349 0.2891 0.2358
Cd1 Cd 0.0000 0.4412 0.2500
# **Fermi-level density of states**: 23.17 states/eV per cell
# **Theoretical density**: 8.58 Mg/m³

=====

The data favor run P; the next most stable structure lies 143 meV/atom above it.

=====

Run P
# Ho3Cd2 | Alexandria | PBE-GGA | relaxed
data_Ho3Cd2
_symmetry_space_group_name_H-M 'P 42/m n m'
_symmetry_Int_Tables_number 136
_symmetry_space_group_name_Hall '-P 4n 2n'
_cell_length_a 8.5507
_cell_length_b 8.5507
_cell_length_c 7.5428
_cell_angle_alpha 90.00
_cell_angle_beta 90.00
_cell_angle_gamma 90.00
loop_
_atom_site_label
_atom_site_type_symbol
_atom_site_fract_x
_atom_site_fract_y
_atom_site_fract_z
Ho1 Ho 0.0000 0.5000 0.2500
Ho2 Ho 0.1532 0.1532 0.0000
Ho3 Ho 0.1882 0.1882 0.5000
Cd1 Cd 0.1280 0.8720 0.2884
# **Fermi-level density of states**: 20.26 states/eV per cell
# **Theoretical density**: 8.67 Mg/m³

=====

Run Q
# Ho3Cd2 | Alexandria | PBE-GGA | relaxed
data_Ho3Cd2
_symmetry_space_group_name_H-M 'P 4/m m m'
_symmetry_Int_Tables_number 123
_symmetry_space_group_name_Hall '-P 4 2'
_cell_length_a 3.6600
_cell_length_b 3.6600
_cell_length_c 20.2520
_cell_angle_alpha 90.00
_cell_angle_beta 90.00
_cell_angle_gamma 90.00
loop_
_atom_site_label
_atom_site_type_symbol
_atom_site_fract_x
_atom_site_fract_y
_atom_site_fract_z
Ho1 Ho 0.0000 0.0000 0.0000
Ho2 Ho 0.0000 0.0000 0.1884
Ho3 Ho 0.0000 0.0000 0.3805
Ho4 Ho 0.5000 0.5000 0.5000
Cd1 Cd 0.5000 0.5000 0.0949
Cd2 Cd 0.5000 0.5000 0.2844
# **Fermi-level density of states**: 13.40 states/eV per cell
# **Theoretical density**: 8.81 Mg/m³

=====

The data favor run Q; the next most stable structure lies 42 meV/atom above it.

=====

Run P
# HoCd6 | Alexandria | PBE-GGA | relaxed
data_HoCd6
_symmetry_space_group_name_H-M 'P n m a'
_symmetry_Int_Tables_number 62
_symmetry_space_group_name_Hall '-P 2ac 2n'
_cell_length_a 9.2091
_cell_length_b 6.0516
_cell_length_c 11.6873
_cell_angle_alpha 90.00
_cell_angle_beta 90.00
_cell_angle_gamma 90.00
loop_
_atom_site_label
_atom_site_type_symbol
_atom_site_fract_x
_atom_site_fract_y
_atom_site_fract_z
Ho1 Ho 0.2423 0.2500 0.0610
Cd1 Cd 0.0619 0.7500 0.0820
Cd2 Cd 0.0636 0.0151 0.3101
Cd3 Cd 0.1087 0.2500 0.5246
Cd4 Cd 0.1362 0.7500 0.8471
Cd5 Cd 0.1904 0.2500 0.7673
# **Fermi-level density of states**: 12.59 states/eV per cell
# **Theoretical density**: 8.56 Mg/m³

=====

Run Q
# HoCd6 | Alexandria | PBE-GGA | relaxed
data_HoCd6
_symmetry_space_group_name_H-M 'I m -3 m'
_symmetry_Int_Tables_number 229
_symmetry_space_group_name_Hall '-I 4 2 3'
_cell_length_a 7.7125
_cell_length_b 7.7125
_cell_length_c 7.7125
_cell_angle_alpha 90.00
_cell_angle_beta 90.00
_cell_angle_gamma 90.00
loop_
_atom_site_label
_atom_site_type_symbol
_atom_site_fract_x
_atom_site_fract_y
_atom_site_fract_z
Ho1 Ho 0.0000 0.0000 0.0000
Cd1 Cd 0.0000 0.2500 0.5000
# **Fermi-level density of states**: 9.71 states/eV per cell
# **Theoretical density**: 6.08 Mg/m³

=====

The data favor run P; the next most stable structure lies 579 meV/atom above it.